1.
Density functional theory data (PBE) for crystalline Ba2PmSnO6 at its relaxed geometry.

Unit cell a=6.195 b=6.195 c=6.195 alpha=60.00 beta=60.00 gamma=60.00
Element x y z (fractional)
Ba (0.250, 0.250, 0.250)
Ba (0.750, 0.750, 0.750)
Pm (0.000, 0.000, 0.000)
Sn (0.500, 0.500, 0.500)
O (0.263, 0.263, 0.737)
O (0.263, 0.737, 0.263)
O (0.263, 0.737, 0.737)
O (0.737, 0.263, 0.263)
O (0.737, 0.263, 0.737)
O (0.737, 0.737, 0.263)

Values from the calculation:
DOS(E_F) ... 8.4 states/eV per cell
Space-group type ... Fm-3m, No. 225
E_form (uncorrected) ... -2.42 eV/atom
Energy ... -6.657 eV per atom
Magnetization ... 1.01 Bohr magnetons per cell

2.
Density functional theory data (PBE) for crystalline Ba2PmTaO6 at its relaxed geometry.

Unit cell a=6.137 b=6.098 c=10.549 alpha=90.00 beta=125.28 gamma=90.00
Element x y z (fractional)
Ba (0.245, 0.002, 0.249)
Ba (0.245, 0.498, 0.749)
Ba (0.755, 0.502, 0.251)
Ba (0.755, 0.998, 0.751)
Pm (0.500, 0.000, 0.000)
Pm (0.500, 0.500, 0.500)
Ta (0.000, 0.000, 0.500)
Ta (0.000, 0.500, 0.000)
O (0.197, 0.236, 0.470)
O (0.197, 0.264, 0.970)
O (0.203, 0.731, 0.970)
O (0.203, 0.769, 0.470)
O (0.287, 0.001, 0.731)
O (0.287, 0.499, 0.231)
O (0.713, 0.501, 0.769)
O (0.713, 0.999, 0.269)
O (0.797, 0.231, 0.530)
O (0.797, 0.269, 0.030)
O (0.803, 0.736, 0.030)
O (0.803, 0.764, 0.530)

Values from the calculation:
DOS(E_F) ... 0.0 states/eV per cell
Space-group type ... P2_1/c, No. 14
E_form (uncorrected) ... -3.10 eV/atom
Energy ... -8.116 eV per atom
Magnetization ... 0.00 Bohr magnetons per cell

3.
Density functional theory data (PBE) for crystalline Ba2PmTa3O12 at its relaxed geometry.

Unit cell a=7.139 b=7.139 c=7.139 alpha=64.45 beta=64.45 gamma=64.45
Element x y z (fractional)
Ba (0.121, 0.121, 0.121)
Ba (0.879, 0.879, 0.879)
Pm (0.500, 0.500, 0.500)
Ta (0.000, 0.500, 0.500)
Ta (0.500, 0.000, 0.500)
Ta (0.500, 0.500, 0.000)
O (0.101, 0.626, 0.626)
O (0.219, 0.219, 0.593)
O (0.219, 0.593, 0.219)
O (0.374, 0.374, 0.899)
O (0.374, 0.899, 0.374)
O (0.407, 0.781, 0.781)
O (0.593, 0.219, 0.219)
O (0.626, 0.101, 0.626)
O (0.626, 0.626, 0.101)
O (0.781, 0.407, 0.781)
O (0.781, 0.781, 0.407)
O (0.899, 0.374, 0.374)

Values from the calculation:
DOS(E_F) ... 7.0 states/eV per cell
Space-group type ... R-3m, No. 166
E_form (uncorrected) ... -2.73 eV/atom
Energy ... -8.484 eV per atom
Magnetization ... 2.07 Bohr magnetons per cell

4.
Density functional theory data (PBE) for crystalline BaPmTc2O8 at its relaxed geometry.

Unit cell a=5.977 b=5.977 c=7.723 alpha=90.00 beta=90.00 gamma=120.00
Element x y z (fractional)
Ba (0.000, 0.000, 0.000)
Pm (0.000, 0.000, 0.500)
Tc (0.333, 0.667, 0.779)
Tc (0.667, 0.333, 0.221)
O (0.166, 0.332, 0.704)
O (0.166, 0.834, 0.704)
O (0.332, 0.166, 0.296)
O (0.333, 0.667, 0.009)
O (0.667, 0.333, 0.991)
O (0.668, 0.834, 0.704)
O (0.834, 0.166, 0.296)
O (0.834, 0.668, 0.296)

Values from the calculation:
DOS(E_F) ... 8.8 states/eV per cell
Space-group type ... P-3m1, No. 164
E_form (uncorrected) ... -2.05 eV/atom
Energy ... -7.634 eV per atom
Magnetization ... 3.00 Bohr magnetons per cell

5.
Density functional theory data (PBE) for crystalline BaPm2TeO8 at its relaxed geometry.

Unit cell a=4.752 b=5.028 c=7.912 alpha=92.27 beta=93.43 gamma=92.91
Element x y z (fractional)
Ba (0.000, 0.000, 0.000)
Pm (0.438, 0.462, 0.708)
Pm (0.562, 0.538, 0.292)
Te (0.000, 0.000, 0.500)
O (0.106, 0.736, 0.321)
O (0.212, 0.863, 0.696)
O (0.311, 0.247, 0.457)
O (0.466, 0.351, 0.999)
O (0.534, 0.649, 0.001)
O (0.689, 0.753, 0.543)
O (0.788, 0.137, 0.304)
O (0.894, 0.264, 0.679)

Values from the calculation:
DOS(E_F) ... 0.0 states/eV per cell
Space-group type ... P-1, No. 2
E_form (uncorrected) ... -2.20 eV/atom
Energy ... -6.715 eV per atom
Magnetization ... 0.00 Bohr magnetons per cell

6.
Density functional theory data (PBE) for crystalline BaPmTeO6 at its relaxed geometry.

Unit cell a=5.843 b=5.843 c=5.559 alpha=90.00 beta=90.00 gamma=120.00
Element x y z (fractional)
Ba (0.000, 0.000, 0.000)
Pm (0.667, 0.333, 0.500)
Te (0.333, 0.667, 0.500)
O (0.050, 0.400, 0.300)
O (0.050, 0.650, 0.700)
O (0.350, 0.400, 0.700)
O (0.350, 0.950, 0.300)
O (0.600, 0.650, 0.300)
O (0.600, 0.950, 0.700)

Values from the calculation:
DOS(E_F) ... 6.8 states/eV per cell
Space-group type ... P312, No. 149
E_form (uncorrected) ... -2.01 eV/atom
Energy ... -6.408 eV per atom
Magnetization ... 1.07 Bohr magnetons per cell

7.
Density functional theory data (PBE) for crystalline BaPmTe2O8 at its relaxed geometry.

Unit cell a=6.119 b=6.119 c=7.816 alpha=90.00 beta=90.00 gamma=120.00
Element x y z (fractional)
Ba (0.000, 0.000, 0.000)
Pm (0.000, 0.000, 0.500)
Te (0.333, 0.667, 0.772)
Te (0.667, 0.333, 0.228)
O (0.159, 0.837, 0.703)
O (0.163, 0.322, 0.703)
O (0.322, 0.159, 0.297)
O (0.333, 0.667, 0.007)
O (0.667, 0.333, 0.993)
O (0.678, 0.841, 0.703)
O (0.837, 0.678, 0.297)
O (0.841, 0.163, 0.297)

Values from the calculation:
DOS(E_F) ... 3.7 states/eV per cell
Space-group type ... P-3, No. 147
E_form (uncorrected) ... -1.73 eV/atom
Energy ... -6.110 eV per atom
Magnetization ... 0.00 Bohr magnetons per cell

8.
Density functional theory data (PBE) for crystalline Ba3PmTi2O9 at its relaxed geometry.

Unit cell a=5.937 b=5.937 c=7.411 alpha=90.00 beta=90.00 gamma=120.00
Element x y z (fractional)
Ba (0.000, 0.000, 0.000)
Ba (0.333, 0.667, 0.693)
Ba (0.667, 0.333, 0.307)
Pm (0.000, 0.000, 0.500)
Ti (0.333, 0.667, 0.172)
Ti (0.667, 0.333, 0.828)
O (0.000, 0.500, 0.000)
O (0.178, 0.356, 0.310)
O (0.178, 0.822, 0.310)
O (0.356, 0.178, 0.690)
O (0.500, 0.000, 0.000)
O (0.500, 0.500, 0.000)
O (0.644, 0.822, 0.310)
O (0.822, 0.178, 0.690)
O (0.822, 0.644, 0.690)

Values from the calculation:
DOS(E_F) ... 7.6 states/eV per cell
Space-group type ... P-3m1, No. 164
E_form (uncorrected) ... -2.93 eV/atom
Energy ... -7.655 eV per atom
Magnetization ... 1.06 Bohr magnetons per cell